Density functional theory data (PBE) for crystalline Cr2SiHg at its relaxed geometry.

Calculated values
- Calculated volume: 15.876 Å³/atom
- N(E_F): 5.13 states/eV per cell
- E_form (uncorrected): 1.8 eV per formula unit

a = 4.1859 Å, b = 4.1859 Å, c = 7.2485 Å
α = 90.00°, β = 90.00°, γ = 90.00°
Last column: nearest neighbours and their distance in Å.
Space group I4/mmm (No. 139)
One atom of each set of equivalent atoms:
1 Cr 0.0000 0.5000 0.2500 (multiplicity 4)  4 Hg 2.77, 4 Si 2.77, 4 Cr 2.96
2 Si 0.0000 0.0000 0.0000 (multiplicity 2)  8 Cr 2.77, 4 Hg 2.96
3 Hg 0.0000 0.0000 0.5000 (multiplicity 2)  8 Cr 2.77, 4 Si 2.96